[1]
Computed, not measured: an optimized crystal structure of Li3Rh at the PBE level of DFT.

For the final energy, the calculation gives -3.33 eV/atom. For the energy relative to the elements, the calculation gives -0.05 eV per atom.

It has space group Pm-3m (No. 221), with a = 3.788 Å, b = 3.788 Å, c = 3.788 Å, α = 90.00°, β = 90.00° and γ = 90.00°. The inequivalent atoms are Li at (0.000, 0.000, 0.500) and Rh at (0.500, 0.500, 0.500).

=====

[2]
Computed, not measured: an optimized crystal structure of NdGeHIr at the PBE level of DFT.

For the final energy, the calculation gives -6.16 eV/atom.

It has space group P4/nmm (No. 129, origin choice 2), with a = 4.156 Å, b = 4.156 Å, c = 7.618 Å, α = 90.00°, β = 90.00° and γ = 90.00°. The inequivalent atoms are Nd at (0.250, 0.250, 0.163), Ge at (0.250, 0.250, 0.683), H at (0.250, 0.750, 0.000) and Ir at (0.250, 0.750, 0.500).

=====

[3]
Computed, not measured: an optimized crystal structure of NaHo2Pb3 at the PBE level of DFT.

For the final energy, the calculation gives -3.90 eV/atom. For the energy relative to the elements, the calculation gives -0.30 eV per atom.

It has space group P4/mmm (No. 123), with a = 3.923 Å, b = 3.923 Å, c = 11.141 Å, α = 90.00°, β = 90.00° and γ = 90.00°. The inequivalent atoms are Na at (0.000, 0.000, 0.000), Ho at (0.000, 0.000, 0.333), Pb at (0.500, 0.500, 0.172) and Pb at (0.500, 0.500, 0.500).

=====

[4]
Computed, not measured: an optimized crystal structure of La2ZrP3Rh12 at the PBE level of DFT.

For the final energy, the calculation gives -7.18 eV/atom. For the energy relative to the elements, the calculation gives -0.36 eV per atom.

It has space group R-3m (No. 166, hexagonal axes), with a = 8.8056 Å, b = 8.8056 Å, c = 13.5448 Å, α = 90.00°, β = 90.00° and γ = 120.00°. The inequivalent atoms are La at (0.0000, 0.0000, 0.1146), Zr at (0.0000, 0.0000, 0.5000), P at (0.0000, 0.5000, 0.0000), Rh at (0.0146, 0.5073, 0.8325) and Rh at (0.0513, 0.5257, 0.3685).

=====

[5]
Computed, not measured: an optimized crystal structure of Li2ZrPb at the PBE level of DFT.

For the final energy, the calculation gives -4.04 eV/atom. For the energy relative to the elements, the calculation gives -0.02 eV per atom.

It has space group Cmm2 (No. 35), with a = 4.652 Å, b = 4.661 Å, c = 7.677 Å, α = 90.00°, β = 90.00° and γ = 90.00°. The inequivalent atoms are Li at (0.000, 0.000, 0.000), Li at (0.000, 0.500, 0.203), Zr at (0.000, 0.500, 0.724) and Pb at (0.000, 0.000, 0.438).

=====

[6]
Computed, not measured: an optimized crystal structure of K3ScMo at the PBE level of DFT.

For the final energy, the calculation gives -2.28 eV/atom. For the energy relative to the elements, the calculation gives 1.81 eV per atom. The calculation puts the relative energy among the computed polymorphs at 0.0 meV per atom.

It has space group Pm-3m (No. 221), with a = 6.808 Å, b = 6.808 Å, c = 6.808 Å, α = 90.00°, β = 90.00° and γ = 90.00°. The inequivalent atoms are K at (0.000, 0.000, 0.500), Sc at (0.000, 0.000, 0.000) and Mo at (0.500, 0.500, 0.500).